(1)
A relaxed structure of AgW2Se, computed with PBE.

Computed properties:
Its density of states at the Fermi level is 0.9089 states/eV per atom. The value obtained for the total magnetization is 0.00 μB per cell. As for the formation energy from raw total energies: 0.956 eV/atom. Its crystal system is orthorhombic. For the total energy, the calculation gives -7.104 eV per atom.

Cell lengths 5.478, 8.545, 2.886 Å; angles 90.00, 90.00, 90.00 degrees
Space group Cmmm (No. 65)
Asymmetric unit:
Ag1 0.000 0.000 0.000
W1 0.250 0.250 0.500
Se1 0.000 0.500 0.000


(2)
A relaxed structure of AgWSe2, computed with PBE.

Computed properties:
The value obtained for the energy above the most stable polymorph in this dataset is 145 meV per atom. Its density of states at the Fermi level is 0.2875 states/eV per atom. The value obtained for the total magnetization is 0.00 μB per cell. As for the formation energy from raw total energies: 0.091 eV/atom. Its crystal system is tetragonal. For the total energy, the calculation gives -5.602 eV per atom.

Cell lengths 3.083, 3.083, 8.500 Å; angles 90.00, 90.00, 90.00 degrees
Space group P4/mmm (No. 123)
Asymmetric unit:
Ag1 0.000 0.000 0.000
W1 0.000 0.000 0.500
Se1 0.500 0.500 0.317


(3)
A relaxed structure of AgW2Se, computed with PBE.

Computed properties:
Its density of states at the Fermi level is 0.6828 states/eV per atom. The value obtained for the total magnetization is 0.00 μB per cell. As for the formation energy from raw total energies: 0.873 eV/atom. Its crystal system is monoclinic. For the total energy, the calculation gives -7.188 eV per atom.

Cell lengths 5.515, 9.104, 2.837 Å; angles 90.00, 108.57, 90.00 degrees
Space group C2/m (No. 12)
Asymmetric unit:
Ag1 0.000 0.000 0.000
W1 0.250 0.250 0.500
Se1 0.000 0.500 0.000


(4)
A relaxed structure of AgW2Se, computed with PBE.

Computed properties:
Its density of states at the Fermi level is 0.8085 states/eV per atom. The value obtained for the total magnetization is 0.00 μB per cell. As for the formation energy from raw total energies: 0.428 eV/atom. Its crystal system is tetragonal. For the total energy, the calculation gives -7.633 eV per atom.

Cell lengths 2.960, 2.960, 8.249 Å; angles 90.00, 90.00, 90.00 degrees
Space group P4mm (No. 99)
Asymmetric unit:
Ag1 0.000 0.000 0.000
W1 0.000 0.000 0.516
W2 0.500 0.500 0.747
Se1 0.500 0.500 0.325


(5)
A relaxed structure of Ag2WSe, computed with PBE.

Computed properties:
Its density of states at the Fermi level is 0.6550 states/eV per atom. The value obtained for the total magnetization is 3.73 μB per cell. As for the formation energy from raw total energies: 0.855 eV/atom. Its crystal system is tetragonal. For the total energy, the calculation gives -4.680 eV per atom.

Cell lengths 7.729, 7.729, 5.109 Å; angles 90.00, 90.00, 90.00 degrees
Space group I-42d (No. 122)
Asymmetric unit:
Ag1 0.238 0.250 0.125
W1 0.000 0.000 0.500
Se1 0.000 0.000 0.000


(6)
A relaxed structure of Ag2WSe, computed with PBE.

Computed properties:
Its density of states at the Fermi level is 0.6449 states/eV per atom. The value obtained for the total magnetization is 0.00 μB per cell. As for the formation energy from raw total energies: 0.402 eV/atom. Its crystal system is orthorhombic. For the total energy, the calculation gives -5.133 eV per atom.

Cell lengths 3.210, 4.791, 9.917 Å; angles 90.00, 90.00, 90.00 degrees
Space group Cmm2 (No. 35)
Asymmetric unit:
Ag1 0.000 0.000 0.000
Ag2 0.000 0.500 0.237
W1 0.000 0.500 0.757
Se1 0.000 0.000 0.559


(7)
A relaxed structure of Ag2WSe, computed with PBE.

Computed properties:
Its density of states at the Fermi level is 0.9803 states/eV per atom. The value obtained for the total magnetization is 0.08 μB per cell. As for the formation energy from raw total energies: 0.812 eV/atom. Its crystal system is tetragonal. For the total energy, the calculation gives -4.724 eV per atom.

Cell lengths 3.819, 3.819, 4.843 Å; angles 90.00, 90.00, 90.00 degrees
Space group P4/mmm (No. 123)
Asymmetric unit:
Ag1 0.000 0.500 0.000
W1 0.000 0.000 0.500
Se1 0.500 0.500 0.500


(8)
A relaxed structure of AgWSe2, computed with PBE.

Computed properties:
The value obtained for the energy above the most stable polymorph in this dataset is 649 meV per atom. Its density of states at the Fermi level is 0.5877 states/eV per atom. The value obtained for the total magnetization is 0.00 μB per cell. As for the formation energy from raw total energies: 0.595 eV/atom. Its crystal system is monoclinic. For the total energy, the calculation gives -5.098 eV per atom.

Cell lengths 6.765, 8.341, 2.754 Å; angles 90.00, 90.22, 90.00 degrees
Space group C2/m (No. 12)
Asymmetric unit:
Ag1 0.000 0.000 0.000
W1 0.000 0.500 0.000
Se1 0.250 0.250 0.000


(9)
A relaxed structure of AgWSe2, computed with PBE.

Computed properties:
The value obtained for the energy above the most stable polymorph in this dataset is 534 meV per atom. Its density of states at the Fermi level is 0.4977 states/eV per atom. The value obtained for the total magnetization is 3.75 μB per cell. As for the formation energy from raw total energies: 0.481 eV/atom. Its crystal system is cubic. For the total energy, the calculation gives -5.213 eV per atom.

Cell lengths 6.551, 6.551, 6.551 Å; angles 90.00, 90.00, 90.00 degrees
Space group Fm-3m (No. 225)
Asymmetric unit:
Ag1 0.000 0.000 0.000
W1 0.000 0.000 0.500
Se1 0.250 0.250 0.250


(10)
A relaxed structure of AgWSe2, computed with PBE.

Computed properties:
The value obtained for the energy above the most stable polymorph in this dataset is 650 meV per atom. Its density of states at the Fermi level is 0.8739 states/eV per atom. The value obtained for the total magnetization is 1.19 μB per cell. As for the formation energy from raw total energies: 0.597 eV/atom. Its crystal system is orthorhombic. For the total energy, the calculation gives -5.097 eV per atom.

Cell lengths 6.608, 6.616, 3.240 Å; angles 90.00, 90.00, 90.00 degrees
Space group Cmmm (No. 65)
Asymmetric unit:
Ag1 0.000 0.000 0.000
W1 0.000 0.500 0.000
Se1 0.250 0.250 0.500


(11)
A relaxed structure of AgWSe2, computed with PBE.

Computed properties:
The value obtained for the energy above the most stable polymorph in this dataset is 370 meV per atom. Its density of states at the Fermi level is 0.6792 states/eV per atom. The value obtained for the total magnetization is 0.00 μB per cell. As for the formation energy from raw total energies: 0.316 eV/atom. Its crystal system is monoclinic. For the total energy, the calculation gives -5.377 eV per atom.

Cell lengths 3.473, 5.037, 4.775 Å; angles 90.00, 111.20, 90.00 degrees
Space group Pm (No. 6)
Asymmetric unit:
Ag1 0.000 0.000 0.000
W1 0.623 0.500 0.250
Se1 0.332 0.500 0.671
Se2 0.711 0.000 0.425


(12)
A relaxed structure of Ag2WSe, computed with PBE.

Computed properties:
Its density of states at the Fermi level is 0.8152 states/eV per atom. The value obtained for the total magnetization is 0.00 μB per cell. As for the formation energy from raw total energies: 0.690 eV/atom. Its crystal system is orthorhombic. For the total energy, the calculation gives -4.845 eV per atom.

Cell lengths 2.713, 4.826, 5.489 Å; angles 90.00, 90.00, 90.00 degrees
Space group Pmmm (No. 47)
Asymmetric unit:
Ag1 0.000 0.000 0.239
W1 0.500 0.500 0.000
Se1 0.500 0.500 0.500


(13)
A relaxed structure of AgW2Se, computed with PBE.

Computed properties:
Its density of states at the Fermi level is 0.7076 states/eV per atom. The value obtained for the total magnetization is 0.00 μB per cell. As for the formation energy from raw total energies: 0.614 eV/atom. Its crystal system is trigonal. For the total energy, the calculation gives -7.447 eV per atom.

Cell lengths 2.9462, 2.9462, 26.4897 Å; angles 90.00, 90.00, 120.00 degrees
Space group R-3m (No. 166, hexagonal axes)
Asymmetric unit:
Ag1 0.0000 0.0000 0.0000
W1 0.0000 0.0000 0.2431
Se1 0.0000 0.0000 0.5000


(14)
A relaxed structure of AgW2Se, computed with PBE.

Computed properties:
Its density of states at the Fermi level is 0.5391 states/eV per atom. The value obtained for the total magnetization is 0.00 μB per cell. As for the formation energy from raw total energies: 0.749 eV/atom. Its crystal system is monoclinic. For the total energy, the calculation gives -7.311 eV per atom.

Cell lengths 9.407, 3.133, 4.638 Å; angles 90.00, 93.95, 90.00 degrees
Space group C2/m (No. 12)
Asymmetric unit:
Ag1 0.000 0.000 0.000
W1 0.238 0.500 0.251
Se1 0.000 0.500 0.500


(15)
A relaxed structure of Ag2WSe, computed with PBE.

Computed properties:
Its density of states at the Fermi level is 0.7178 states/eV per atom. The value obtained for the total magnetization is 0.00 μB per cell. As for the formation energy from raw total energies: 0.619 eV/atom. Its crystal system is orthorhombic. For the total energy, the calculation gives -4.916 eV per atom.

Cell lengths 5.377, 9.783, 2.714 Å; angles 90.00, 90.00, 90.00 degrees
Space group Cmmm (No. 65)
Asymmetric unit:
Ag1 0.250 0.250 0.000
W1 0.000 0.000 0.500
Se1 0.000 0.500 0.500